(1)
Computed, not measured: a relaxed LaPrCdIr crystal at the PBE level of DFT.

Unit cell a=5.2692 b=5.2692 c=5.2692 alpha=60.00 beta=60.00 gamma=60.00
Closest atoms and distances in Å follow each position.
Fractional positions:
Pr (0.0000, 0.0000, 0.0000)  4 Ir 3.23, 4 Cd 3.23
La (0.5000, 0.5000, 0.5000)  4 Cd 3.23, 4 Ir 3.23
Ir (0.7500, 0.7500, 0.7500)  4 Pr 3.23, 4 La 3.23
Cd (0.2500, 0.2500, 0.2500)  4 La 3.23, 4 Pr 3.23

Properties
* energy relative to the elements: -401 meV/atom
* M_tot: 0.0 Bohr magnetons per cell


(2)
Computed, not measured: a relaxed AcLa2C crystal at the PBE level of DFT.

Unit cell a=3.7676 b=3.7676 c=10.7342 alpha=79.89 beta=79.89 gamma=60.00
Closest atoms and distances in Å follow each position.
Fractional positions:
La (0.8791, 0.8791, 0.3628)  3 C 2.61
Ac (0.0000, 0.0000, 0.0000)  6 Ac 3.77, 2 La 3.81
C (0.5000, 0.5000, 0.5000)  6 La 2.61
La (0.1209, 0.1209, 0.6372)  3 C 2.61

Properties
* energy relative to the elements: 10 meV/atom
* M_tot: 0.0 Bohr magnetons per cell